(1)
First-principles (GGA-PBE) data for Lu2TeO6 after structural relaxation, as listed in Alexandria.

Cell and atoms, written as CIF:
```
data_Lu2TeO6
_space_group_name_H-M_alt 'P 21 21 21'
_space_group_IT_number 19
_cell_length_a 5.197
_cell_length_b 8.992
_cell_length_c 9.866
_cell_angle_alpha 90.00
_cell_angle_beta 90.00
_cell_angle_gamma 90.00
loop_
_space_group_symop_operation_xyz
'x,y,z'
'-x+1/2,-y,z+1/2'
'x+1/2,-y+1/2,-z'
'-x,y+1/2,-z+1/2'
loop_
_atom_site_label
_atom_site_fract_x
_atom_site_fract_y
_atom_site_fract_z
Lu1 0.014 0.104 0.463
Lu2 0.041 0.217 0.866
Te1 0.035 0.495 0.350
O1 0.098 0.842 0.031
O2 0.172 0.952 0.305
O3 0.176 0.642 0.821
O4 0.191 0.644 0.237
O5 0.240 0.117 0.070
O6 0.241 0.585 0.498
```

Results
E above lowest polymorph (eV per atom): 0.010
Magnetization (μB per formula unit): 0.0
Formation energy without anion corrections (eV per atom): -2.587
Density of states at the Fermi level (states/eV/f.u.): 0.000
E_tot (eV/atom): -7.25


(2)
First-principles (GGA-PBE) data for K2NaIn12Ir3 after structural relaxation, as listed in Alexandria.

Cell and atoms, written as CIF:
```
data_K2NaIn12Ir3
_space_group_name_H-M_alt 'R -3 m'
_space_group_IT_number 166
_space_group_name_Hall '-R 3 2"'
_cell_length_a 10.2510
_cell_length_b 10.2510
_cell_length_c 19.5137
_cell_angle_alpha 90.00
_cell_angle_beta 90.00
_cell_angle_gamma 120.00
loop_
_atom_site_label
_atom_site_fract_x
_atom_site_fract_y
_atom_site_fract_z
K1 0.0000 0.0000 0.0939
Na1 0.0000 0.0000 0.5000
In1 0.0111 0.5055 0.8647
In2 0.1072 0.5536 0.3247
Ir1 0.0000 0.5000 0.0000
```

Results
Magnetization (μB per formula unit): 0.0
Density of states at the Fermi level (states/eV/f.u.): 8.637
E_tot (eV/atom): -3.47
ΔE_f (eV per atom): 0.026


(3)
First-principles (GGA-PBE) data for Tb3Tl2Te6 after structural relaxation, as listed in Alexandria.

Cell and atoms, written as CIF:
```
data_Tb3Tl2Te6
_space_group_name_H-M_alt 'C 1 2/m 1'
_space_group_IT_number 12
_cell_length_a 7.632
_cell_length_b 13.210
_cell_length_c 8.535
_cell_angle_alpha 90.00
_cell_angle_beta 107.39
_cell_angle_gamma 90.00
loop_
_space_group_symop_operation_xyz
'x,y,z'
'-x,-y,-z'
'-x,y,-z'
'x,-y,z'
'x+1/2,y+1/2,z'
'-x+1/2,-y+1/2,-z'
'-x+1/2,y+1/2,-z'
'x+1/2,-y+1/2,z'
loop_
_atom_site_label
_atom_site_fract_x
_atom_site_fract_y
_atom_site_fract_z
Tb1 0.000 0.000 0.000
Tb2 0.000 0.332 0.000
Tl1 0.000 0.166 0.500
Te1 0.239 0.167 0.218
Te2 0.239 0.500 0.216
```

Results
Magnetization (μB per formula unit): 0.0
Formation energy without anion corrections (eV per atom): -1.055
Density of states at the Fermi level (states/eV/f.u.): 5.041
E_tot (eV/atom): -4.46


(4)
First-principles (GGA-PBE) data for PrDy4Al after structural relaxation, as listed in Alexandria.

Cell and atoms, written as CIF:
```
data_PrDy4Al
_space_group_name_H-M_alt 'P 4/m m m'
_space_group_IT_number 123
_space_group_name_Hall '-P 4 2'
_cell_length_a 3.578
_cell_length_b 3.578
_cell_length_c 13.975
_cell_angle_alpha 90.00
_cell_angle_beta 90.00
_cell_angle_gamma 90.00
loop_
_atom_site_label
_atom_site_fract_x
_atom_site_fract_y
_atom_site_fract_z
Pr1 0.000 0.000 0.000
Dy1 0.000 0.000 0.367
Dy2 0.500 0.500 0.185
Al1 0.500 0.500 0.500
```

Results
E above lowest polymorph (eV per atom): 0.000
Magnetization (μB per formula unit): 0.0
Density of states at the Fermi level (states/eV/f.u.): 7.237
E_tot (eV/atom): -4.60
ΔE_f (eV per atom): -0.114


(5)
First-principles (GGA-PBE) data for PaZnPdAu after structural relaxation, as listed in Alexandria.

Cell and atoms, written as CIF:
```
data_PaZnPdAu
_space_group_name_H-M_alt 'F -4 3 m'
_space_group_IT_number 216
_space_group_name_Hall 'F -4 2 3'
_cell_length_a 6.805
_cell_length_b 6.805
_cell_length_c 6.805
_cell_angle_alpha 90.00
_cell_angle_beta 90.00
_cell_angle_gamma 90.00
loop_
_atom_site_label
_atom_site_fract_x
_atom_site_fract_y
_atom_site_fract_z
Pa1 0.000 0.000 0.000
Zn1 0.000 0.000 0.500
Pd1 0.250 0.250 0.250
Au1 0.250 0.250 0.750
```

Results
Magnetization (μB per formula unit): 0.0
Density of states at the Fermi level (states/eV/f.u.): 5.461
E_tot (eV/atom): -5.20
ΔE_f (eV per atom): -0.391